Sm5MgCd6, relaxed, DFT PBE-GGA; spin magnetization = 0.8 μB per formula unit; space group = C2/m; uncorrected energy = -2.86 eV/atom; energy of formation = -0.300 eV/atom
1.0
8.367 -3.840 0.000
8.367 3.840 0.000
-1.636 0.000 4.985
Sm Mg Cd
5 1 6
Direct
0.000 0.000 0.000
0.168 0.168 0.668
0.332 0.332 0.332
0.668 0.668 0.668
0.832 0.832 0.332
0.500 0.500 0.000
0.104 0.580 0.841
0.266 0.734 0.500
0.420 0.896 0.159
0.580 0.104 0.841
0.734 0.266 0.500
0.896 0.420 0.159